Arrangement one

ThZrFe | PBE-GGA | relaxed

Computed properties:
Total moment   0.2 μB/cell

Lattice parameters (Å, degrees): 4.5741 4.5741 4.5741 60.00 60.00 60.00
Fractional coordinates of all 3 atoms:
1 Th 0.0000 0.0000 0.0000
2 Zr 0.2500 0.2500 0.2500
3 Fe 0.7500 0.7500 0.7500

---

Arrangement two

ThZrFe | PBE-GGA | relaxed

Computed properties:
Total moment   0.3 μB/cell

Lattice parameters (Å, degrees): 4.6022 4.6022 4.6022 60.00 60.00 60.00
Fractional coordinates of all 3 atoms:
1 Th 0.0000 0.0000 0.0000
2 Zr 0.5000 0.5000 0.5000
3 Fe 0.2500 0.2500 0.2500

---

How far above the most stable structure does each one sit? In kJ/mol of atoms: arrangement one 86.0; arrangement two 0.0.

---

Arrangement one

YTlFeW | PBE-GGA | relaxed

Computed properties:
Total moment   2.0 μB/cell

Lattice parameters (Å, degrees): 4.7374 4.7374 4.7374 60.00 60.00 60.00
Fractional coordinates of all 4 atoms:
1 Y 0.0000 0.0000 0.0000
2 Tl 0.2500 0.2500 0.2500
3 Fe 0.5000 0.5000 0.5000
4 W 0.7500 0.7500 0.7500

---

Arrangement two

YTlFeW | PBE-GGA | relaxed

Computed properties:
Total moment   4.0 μB/cell

Lattice parameters (Å, degrees): 4.8150 4.8150 4.8150 60.00 60.00 60.00
Fractional coordinates of all 4 atoms:
1 Y 0.0000 0.0000 0.0000
2 Tl 0.5000 0.5000 0.5000
3 Fe 0.7500 0.7500 0.7500
4 W 0.2500 0.2500 0.2500

---

How far above the most stable structure does each one sit? In kJ/mol of atoms: arrangement one 0.0; arrangement two 5.5.

---

Arrangement one

YTlZnFe | PBE-GGA | relaxed

Computed properties:
Total moment   2.2 μB/cell

Lattice parameters (Å, degrees): 4.8158 4.8158 4.8158 60.00 60.00 60.00
Fractional coordinates of all 4 atoms:
1 Y 0.0000 0.0000 0.0000
2 Tl 0.5000 0.5000 0.5000
3 Zn 0.2500 0.2500 0.2500
4 Fe 0.7500 0.7500 0.7500

---

Arrangement two

YTlZnFe | PBE-GGA | relaxed

Computed properties:
Total moment   2.5 μB/cell

Lattice parameters (Å, degrees): 4.8461 4.8461 4.8461 60.00 60.00 60.00
Fractional coordinates of all 4 atoms:
1 Y 0.0000 0.0000 0.0000
2 Tl 0.2500 0.2500 0.2500
3 Zn 0.7500 0.7500 0.7500
4 Fe 0.5000 0.5000 0.5000

---

How far above the most stable structure does each one sit? In kJ/mol of atoms: arrangement one 5.0; arrangement two 0.0.

---

Arrangement one

ZrTlZnFe | PBE-GGA | relaxed

Computed properties:
Total moment   2.1 μB/cell

Lattice parameters (Å, degrees): 4.6792 4.6792 4.6792 60.00 60.00 60.00
Fractional coordinates of all 4 atoms:
1 Zr 0.0000 0.0000 0.0000
2 Tl 0.2500 0.2500 0.2500
3 Zn 0.7500 0.7500 0.7500
4 Fe 0.5000 0.5000 0.5000

---

Arrangement two

ZrTlZnFe | PBE-GGA | relaxed

Computed properties:
Total moment   1.5 μB/cell

Lattice parameters (Å, degrees): 4.6409 4.6409 4.6409 60.00 60.00 60.00
Fractional coordinates of all 4 atoms:
1 Zr 0.0000 0.0000 0.0000
2 Tl 0.5000 0.5000 0.5000
3 Zn 0.2500 0.2500 0.2500
4 Fe 0.7500 0.7500 0.7500

---

How far above the most stable structure does each one sit? In kJ/mol of atoms: arrangement one 7.0; arrangement two 0.0.

---

Arrangement one

TmFeW | PBE-GGA | relaxed

Computed properties:
Total moment   0.0 μB/cell

Lattice parameters (Å, degrees): 4.3033 4.3033 4.3033 60.00 60.00 60.00
Fractional coordinates of all 3 atoms:
1 Tm 0.0000 0.0000 0.0000
2 Fe 0.2500 0.2500 0.2500
3 W 0.5000 0.5000 0.5000

---

Arrangement two

TmFeW | PBE-GGA | relaxed

Computed properties:
Total moment   3.7 μB/cell

Lattice parameters (Å, degrees): 4.4725 4.4725 4.4725 60.00 60.00 60.00
Fractional coordinates of all 3 atoms:
1 Tm 0.0000 0.0000 0.0000
2 Fe 0.7500 0.7500 0.7500
3 W 0.2500 0.2500 0.2500

---

How far above the most stable structure does each one sit? In kJ/mol of atoms: arrangement one 0.0; arrangement two 126.7.

---

Arrangement one

ZrUFe | PBE-GGA | relaxed

Computed properties:
Total moment   1.3 μB/cell

Lattice parameters (Å, degrees): 4.3866 4.3866 4.3866 60.00 60.00 60.00
Fractional coordinates of all 3 atoms:
1 Zr 0.0000 0.0000 0.0000
2 U 0.5000 0.5000 0.5000
3 Fe 0.2500 0.2500 0.2500

---

Arrangement two

ZrUFe | PBE-GGA | relaxed

Computed properties:
Total moment   0.0 μB/cell

Lattice parameters (Å, degrees): 4.3561 4.3561 4.3561 60.00 60.00 60.00
Fractional coordinates of all 3 atoms:
1 Zr 0.0000 0.0000 0.0000
2 U 0.7500 0.7500 0.7500
3 Fe 0.5000 0.5000 0.5000

---

How far above the most stable structure does each one sit? In kJ/mol of atoms: arrangement one 0.0; arrangement two 47.1.

---

Arrangement one

Zn4Fe3 | PBE-GGA | relaxed

Computed properties:
Total moment   13.6 μB/cell

Lattice parameters (Å, degrees): 6.9434 6.9434 4.2573 90.00 90.00 120.00
Fractional coordinates of all 14 atoms:
1 Zn 0.0491 0.8033 0.2500
2 Zn 0.1967 0.2458 0.2500
3 Zn 0.2458 0.0491 0.7500
4 Zn 0.3333 0.6667 0.2500
5 Zn 0.6667 0.3333 0.7500
6 Zn 0.7542 0.9509 0.2500
7 Zn 0.8033 0.7542 0.7500
8 Zn 0.9509 0.1967 0.7500
9 Fe 0.1005 0.6163 0.7500
10 Fe 0.3837 0.4842 0.7500
11 Fe 0.4842 0.1005 0.2500
12 Fe 0.5158 0.8995 0.7500
13 Fe 0.6163 0.5158 0.2500
14 Fe 0.8995 0.3837 0.2500

---

Arrangement two

Zn4Fe3 | PBE-GGA | relaxed

Computed properties:
Total moment   13.3 μB/cell

Lattice parameters (Å, degrees): 6.9891 6.9891 4.2444 90.00 90.00 120.00
Fractional coordinates of all 14 atoms:
1 Zn 0.0883 0.6229 0.2500
2 Zn 0.3333 0.6667 0.7500
3 Zn 0.3771 0.4655 0.2500
4 Zn 0.4655 0.0883 0.7500
5 Zn 0.5345 0.9117 0.2500
6 Zn 0.6229 0.5345 0.7500
7 Zn 0.6667 0.3333 0.2500
8 Zn 0.9117 0.3771 0.7500
9 Fe 0.0409 0.8233 0.7500
10 Fe 0.1767 0.2176 0.7500
11 Fe 0.2176 0.0409 0.2500
12 Fe 0.7824 0.9591 0.7500
13 Fe 0.8233 0.7824 0.2500
14 Fe 0.9591 0.1767 0.2500

---

How far above the most stable structure does each one sit? In kJ/mol of atoms: arrangement one 0.0; arrangement two 1.0.

---

Arrangement one

Gd3Ga2 | PBE-GGA | relaxed

Computed properties:
Total moment   0.0 μB/cell

Lattice parameters (Å, degrees): 8.2050 8.2050 7.5835 90.00 90.00 90.00
Fractional coordinates of all 20 atoms:
1 Gd 0.0000 0.5000 0.0000
2 Gd 0.0000 0.5000 0.5000
3 Gd 0.1541 0.1541 0.2496
4 Gd 0.1958 0.1958 0.7489
5 Gd 0.3042 0.6958 0.2489
6 Gd 0.3459 0.6541 0.7496
7 Gd 0.5000 0.0000 0.0000
8 Gd 0.5000 0.0000 0.5000
9 Gd 0.6541 0.3459 0.7496
10 Gd 0.6958 0.3042 0.2489
11 Gd 0.8042 0.8042 0.7489
12 Gd 0.8459 0.8459 0.2496
13 Ga 0.1204 0.8796 0.9518
14 Ga 0.1208 0.8792 0.5456
15 Ga 0.3792 0.3792 0.0456
16 Ga 0.3796 0.3796 0.4518
17 Ga 0.6204 0.6204 0.4518
18 Ga 0.6208 0.6208 0.0456
19 Ga 0.8792 0.1208 0.5456
20 Ga 0.8796 0.1204 0.9518

---

Arrangement two

Gd3Ga2 | PBE-GGA | relaxed

Computed properties:
Total moment   0.0 μB/cell

Lattice parameters (Å, degrees): 11.1901 11.1901 11.1901 116.85 116.85 95.55
Fractional coordinates of all 40 atoms:
1 Gd 0.0672 0.3361 0.1340
2 Gd 0.0668 0.9328 0.2689
3 Gd 0.1479 0.6479 0.5000
4 Gd 0.1639 0.4328 0.8660
5 Gd 0.1680 0.3320 0.5000
6 Gd 0.2020 0.9332 0.8660
7 Gd 0.2980 0.1639 0.7311
8 Gd 0.3320 0.8320 0.1640
9 Gd 0.3361 0.2020 0.2689
10 Gd 0.3521 0.8521 0.5000
11 Gd 0.4328 0.5668 0.2689
12 Gd 0.4332 0.7020 0.8660
13 Gd 0.5668 0.2980 0.1340
14 Gd 0.5672 0.4332 0.7311
15 Gd 0.6479 0.1479 0.5000
16 Gd 0.6639 0.7980 0.7311
17 Gd 0.6680 0.1680 0.8360
18 Gd 0.7020 0.8361 0.2689
19 Gd 0.7980 0.0668 0.1340
20 Gd 0.8320 0.6680 0.5000
21 Gd 0.8361 0.5672 0.1340
22 Gd 0.8521 0.3521 0.5000
23 Gd 0.9332 0.0672 0.7311
24 Gd 0.9328 0.6639 0.8660
25 Ga 0.0000 0.0000 0.0000
26 Ga 0.0241 0.8803 0.5000
27 Ga 0.1163 0.6163 0.7326
28 Ga 0.1197 0.6197 0.1438
29 Ga 0.2500 0.2500 0.0000
30 Ga 0.3803 0.5241 0.5000
31 Ga 0.3837 0.1163 0.5000
32 Ga 0.4759 0.9759 0.8562
33 Ga 0.5000 0.5000 0.0000
34 Ga 0.5241 0.0241 0.1438
35 Ga 0.6163 0.8837 0.5000
36 Ga 0.6197 0.4759 0.5000
37 Ga 0.7500 0.7500 0.0000
38 Ga 0.8803 0.3803 0.8562
39 Ga 0.8837 0.3837 0.2674
40 Ga 0.9759 0.1197 0.5000

---

How far above the most stable structure does each one sit? In kJ/mol of atoms: arrangement one 4.9; arrangement two 0.0.